LaNiTe2N: optimized geometry, GGA-PBE.

a b c (Å): 5.4111 5.4111 3.7578
angles (deg): 90.00 90.00 90.00
Last column: nearest neighbours and their distance in Å.
Sites, in units of the cell vectors:
La (0.0000, 0.0000, 0.0000)  8 Te 3.29
Ni (0.5000, 0.5000, 0.5000)  2 N 1.88
Te (0.0000, 0.5000, 0.5000)  2 Ni 2.71
Te (0.5000, 0.0000, 0.5000)  2 Ni 2.71
N (0.5000, 0.5000, 0.0000)  2 Ni 1.88

Summary:
Symmetry: P4/mmm (123)

---

LaNi2WN: optimized geometry, GGA-PBE.

a b c (Å): 4.2717 4.2717 4.0751
angles (deg): 90.00 90.00 90.00
Last column: nearest neighbours and their distance in Å.
Sites, in units of the cell vectors:
La (0.0000, 0.0000, 0.0000)  8 Ni 2.95, 4 W 3.02
Ni (0.0000, 0.5000, 0.5000)  2 N 2.14
Ni (0.5000, 0.0000, 0.5000)  2 N 2.14
W (0.5000, 0.5000, 0.0000)  2 N 2.04
N (0.5000, 0.5000, 0.5000)  2 W 2.04, 4 Ni 2.14

Summary:
Symmetry: P4/mmm (123)

---

What formation energy from raw total energies values result from the calculations? In sequence: -1.25, 0.73 eV/f.u..
What uncorrected energy values result from the calculations? In sequence: -26.57, -37.03 eV for the cell shown.